# K2NpRe2N6

An optimized crystal structure of K2NpRe2N6 (PBE, Alexandria via LeMat-Bulk).

Properties
E_form (uncorrected) (eV per atom): -0.391

abc: 10.737 6.135 7.168
angles: 90.00 121.82 90.00
Space group C2/m (No. 12)
One atom of each set of equivalent atoms:
1 K 0.213 0.000 0.173 x4
2 Np 0.000 0.000 0.500 x2
3 Re 0.056 0.500 0.213 x4
4 N 0.012 0.252 0.732 x8
5 N 0.250 0.000 0.674 x4

# KNpReN4

An optimized crystal structure of KNpReN4 (PBE, Alexandria via LeMat-Bulk).

Properties
E_form (uncorrected) (eV per atom): -0.439

abc: 6.015 5.978 7.663
angles: 90.00 105.84 90.00
Space group P2_1/m (No. 11)
One atom of each set of equivalent atoms:
1 K 0.197 0.250 0.426 x2
2 Np 0.298 0.250 0.952 x2
3 Re 0.236 0.750 0.154 x2
4 N 0.022 0.750 0.937 x2
5 N 0.035 0.750 0.295 x2
6 N 0.442 0.513 0.167 x4